1.
Computed, not measured: Tl2Sn2Te5 after structural relaxation at the PBE level of DFT.

```
Tl2Sn2Te5
1.0
7.081 -3.079 0.000
7.081 3.079 0.000
-3.823 0.000 7.452
Tl Sn Te
2 2 5
direct
0.111 0.111 0.441
0.889 0.889 0.559
0.378 0.378 0.078
0.622 0.622 0.922
0.140 0.140 0.899
0.371 0.371 0.713
0.500 0.500 0.500
0.629 0.629 0.287
0.860 0.860 0.101
```

- Energy relative to the elements, uncorrected: -141 meV per atom
- Space-group type: C2/m

2.
Computed, not measured: ZnAgMo2 after structural relaxation at the PBE level of DFT.

```
ZnAgMo2
1.0
2.697 0.000 0.000
0.000 4.406 0.000
-0.608 0.000 5.381
Zn Ag Mo
1 1 2
direct
0.000 0.000 0.000
0.028 0.500 0.250
0.407 0.500 0.756
0.613 0.000 0.522
```

- Space-group type: Pm
- Energy of formation: 25.1 kJ per mole of atoms

3.
Computed, not measured: AuBrO2 after structural relaxation at the PBE level of DFT.

```
AuBrO2
1.0
3.537 0.000 0.000
-1.769 3.063 0.000
0.000 0.000 17.675
Au Br O
3 3 6
direct
0.000 0.000 0.000
0.333 0.667 0.667
0.667 0.333 0.333
0.000 0.000 0.500
0.333 0.667 0.167
0.667 0.333 0.833
0.000 0.000 0.385
0.000 0.000 0.615
0.333 0.667 0.051
0.333 0.667 0.282
0.667 0.333 0.718
0.667 0.333 0.949
```

- Energy relative to the elements, uncorrected: 184 meV per atom
- Space-group type: R-3m

4.
Computed, not measured: Sc2TcO after structural relaxation at the PBE level of DFT.

```
Sc2TcO
1.0
6.065 0.000 0.000
0.000 6.065 0.000
0.000 0.000 7.562
Sc Tc O
8 4 4
direct
0.165 0.250 0.125
0.250 0.665 0.375
0.250 0.835 0.875
0.335 0.250 0.625
0.665 0.750 0.625
0.750 0.165 0.875
0.750 0.335 0.375
0.835 0.750 0.125
0.000 0.000 0.500
0.000 0.500 0.750
0.500 0.000 0.250
0.500 0.500 0.000
0.000 0.000 0.000
0.000 0.500 0.250
0.500 0.000 0.750
0.500 0.500 0.500
```

- Energy relative to the elements, uncorrected: -1044 meV per atom
- Space-group type: I-42d

5.
Computed, not measured: Nd2DyLu after structural relaxation at the PBE level of DFT.

```
Nd2DyLu
1.0
3.598 0.000 0.000
-1.799 3.116 0.000
0.000 0.000 34.809
Nd Dy Lu
6 3 3
direct
0.000 0.000 0.249
0.000 0.000 0.751
0.333 0.667 0.417
0.333 0.667 0.916
0.667 0.333 0.084
0.667 0.333 0.583
0.000 0.000 0.000
0.333 0.667 0.667
0.667 0.333 0.333
0.000 0.000 0.500
0.333 0.667 0.167
0.667 0.333 0.833
```

- Polymorph energy (0 for the lowest one): 0.00 eV/f.u.
- Space-group type: R-3m
- Energy of formation: 1.7 kJ per mole of atoms

6.
Computed, not measured: Cu2SbAs after structural relaxation at the PBE level of DFT.

```
Cu2SbAs
1.0
5.899 0.000 0.000
0.000 6.259 0.000
-2.442 0.000 4.111
Cu Sb As
4 2 2
direct
0.250 0.250 0.000
0.250 0.750 0.000
0.750 0.250 0.000
0.750 0.750 0.000
0.000 0.000 0.500
0.500 0.500 0.500
0.000 0.500 0.500
0.500 0.000 0.500
```

- Polymorph energy (0 for the lowest one): 0.61 eV/f.u.
- Energy relative to the elements, uncorrected: 228 meV per atom
- Space-group type: C2/m

7.
Computed, not measured: NaTcPt after structural relaxation at the PBE level of DFT.

```
NaTcPt
1.0
4.638 0.000 0.000
-2.319 4.016 0.000
0.000 0.000 5.468
Na Tc Pt
2 2 2
direct
0.000 0.000 0.000
0.000 0.000 0.500
0.333 0.667 0.250
0.667 0.333 0.750
0.333 0.667 0.750
0.667 0.333 0.250
```

- Polymorph energy (0 for the lowest one): 1.30 eV/f.u.
- Space-group type: P6_3/mmc
- Energy of formation: 46.4 kJ per mole of atoms

8.
Computed, not measured: Ta2HPtRh after structural relaxation at the PBE level of DFT.

```
Ta2HPtRh
1.0
4.059 0.000 0.000
0.000 4.059 0.000
0.000 0.000 4.047
Ta H Pt Rh
2 1 1 1
direct
0.000 0.500 0.000
0.500 0.000 0.000
0.000 0.000 0.000
0.500 0.500 0.500
0.000 0.000 0.500
```

- Polymorph energy (0 for the lowest one): 0.00 eV/f.u.
- Space-group type: P4/mmm